Run P
A geometry-optimized MgV3F structure. Source: Alexandria, functional PBE+U.

abc: 5.167 5.167 5.167
angles: 90.00 90.00 90.00
Positions (direct):
V 0.000 0.500 0.000
V 0.500 0.000 0.000
V 0.000 0.000 0.500
F 0.500 0.500 0.500
Mg 0.000 0.000 0.000

Summary:
- SG = Pm-3m

Run Q
A geometry-optimized MgV3F structure. Source: Alexandria, functional PBE+U.

abc: 4.518 4.518 4.518
angles: 90.00 90.00 90.00
Positions (direct):
V 0.500 0.000 0.000
V 0.000 0.000 0.500
V 0.000 0.500 0.000
Mg 0.500 0.500 0.500
F 0.000 0.000 0.000

Summary:
- SG = Pm-3m

Which of them is most stable? Easy: run Q.

Run P
A geometry-optimized Mg2V2F structure. Source: Alexandria, functional PBE+U.

abc: 7.723 7.723 3.281
angles: 90.00 90.00 90.00
Positions (direct):
Mg 0.293 0.793 0.000
Mg 0.793 0.707 0.000
Mg 0.707 0.207 0.000
Mg 0.207 0.293 0.000
V 0.914 0.414 0.500
V 0.586 0.914 0.500
V 0.086 0.586 0.500
V 0.414 0.086 0.500
F 0.500 0.500 0.000
F 0.000 0.000 0.000

Summary:
- SG = P4/mbm

Run Q
A geometry-optimized Mg2V2F structure. Source: Alexandria, functional PBE+U.

abc: 3.538 3.538 8.315
angles: 77.72 77.72 90.00
Positions (direct):
Mg 0.597 0.597 0.806
Mg 0.403 0.403 0.194
V 0.750 0.250 0.500
V 0.250 0.750 0.500
F 0.000 0.000 0.000

Summary:
- SG = I4/mmm

Which of them is most stable? Easy: run Q.

Run P
A geometry-optimized MgVF4 structure. Source: Alexandria, functional PBE+U.

abc: 3.185 4.817 4.817
angles: 90.11 90.00 90.00
Positions (direct):
V 0.500 0.500 0.500
F 0.500 0.188 0.812
F 0.000 0.706 0.706
F 0.000 0.294 0.294
F 0.500 0.812 0.188
Mg 0.000 0.000 0.000

Summary:
- SG = Cmmm

Run Q
A geometry-optimized MgVF4 structure. Source: Alexandria, functional PBE+U.

abc: 5.126 5.557 5.800
angles: 109.42 108.21 91.12
Positions (direct):
F 0.343 0.547 0.318
F 0.775 0.781 0.199
F 0.847 0.334 0.255
F 0.225 0.219 0.801
F 0.709 0.975 0.746
F 0.657 0.453 0.682
F 0.153 0.666 0.745
F 0.291 0.025 0.254
V 0.000 0.500 0.000
V 0.500 0.000 0.000
Mg 0.744 0.674 0.485
Mg 0.256 0.326 0.515

Summary:
- SG = P-1

Which of them is most stable? Easy: run P.

Run P
A geometry-optimized MgVF5 structure. Source: Alexandria, functional PBE+U.

abc: 5.316 5.316 7.573
angles: 68.68 68.68 71.41
Positions (direct):
F 0.718 0.785 0.135
F 0.282 0.215 0.865
F 0.870 0.130 0.750
F 0.715 0.323 0.051
F 0.785 0.718 0.635
F 0.285 0.677 0.949
F 0.130 0.870 0.250
F 0.323 0.715 0.551
F 0.677 0.285 0.449
F 0.215 0.282 0.365
V 0.000 0.000 0.000
V 0.000 0.000 0.500
Mg 0.529 0.471 0.750
Mg 0.471 0.529 0.250

Summary:
- SG = C2/c

Run Q
A geometry-optimized MgVF5 structure. Source: Alexandria, functional PBE+U.

abc: 9.768 5.133 7.601
angles: 70.41 90.00 90.00
Positions (direct):
F 0.862 0.210 0.839
F 0.114 0.405 0.613
F 0.393 0.358 0.511
F 0.327 0.165 0.860
F 0.673 0.835 0.140
F 0.173 0.165 0.360
F 0.903 0.143 0.263
F 0.893 0.642 0.989
F 0.107 0.358 0.011
F 0.597 0.143 0.763
F 0.138 0.790 0.161
F 0.886 0.595 0.387
F 0.097 0.857 0.737
F 0.403 0.857 0.237
F 0.362 0.790 0.661
F 0.607 0.642 0.489
F 0.827 0.835 0.640
F 0.386 0.405 0.113
F 0.614 0.595 0.887
F 0.638 0.210 0.339
V 0.258 0.107 0.126
V 0.242 0.107 0.626
V 0.742 0.893 0.874
V 0.758 0.893 0.374
Mg 0.487 0.475 0.724
Mg 0.013 0.475 0.224
Mg 0.987 0.525 0.776
Mg 0.513 0.525 0.276

Summary:
- SG = P2_1/c

Which of them is most stable? Easy: run P.

Run P
A geometry-optimized MgV2F structure. Source: Alexandria, functional PBE+U.

abc: 4.758 4.758 4.758
angles: 60.00 60.00 60.00
Positions (direct):
V 0.250 0.250 0.250
V 0.750 0.750 0.750
F 0.000 0.000 0.000
Mg 0.500 0.500 0.500

Summary:
- SG = Fm-3m

Run Q
A geometry-optimized MgV2F structure. Source: Alexandria, functional PBE+U.

abc: 5.583 5.583 7.353
angles: 67.69 67.69 90.00
Positions (direct):
V 0.375 0.625 0.750
V 0.375 0.625 0.250
V 0.375 0.125 0.250
V 0.875 0.625 0.750
Mg 0.000 0.000 0.000
Mg 0.750 0.250 0.500
F 0.500 0.500 0.000
F 0.250 0.750 0.500

Summary:
- SG = I4_1/amd

Which of them is most stable? Easy: run Q.

Run P
A geometry-optimized Mg3WF structure. Source: Alexandria, functional PBE+U.

abc: 5.580 5.580 5.580
angles: 90.00 90.00 90.00
Positions (direct):
Mg 0.500 0.000 0.000
Mg 0.000 0.500 0.000
Mg 0.000 0.000 0.500
W 0.000 0.000 0.000
F 0.500 0.500 0.500

Summary:
- SG = Pm-3m

Run Q
A geometry-optimized Mg3WF structure. Source: Alexandria, functional PBE+U.

abc: 4.383 4.383 4.383
angles: 90.00 90.00 90.00
Positions (direct):
Mg 0.000 0.500 0.000
Mg 0.000 0.000 0.500
Mg 0.500 0.000 0.000
F 0.000 0.000 0.000
W 0.500 0.500 0.500

Summary:
- SG = Pm-3m

Which of them is most stable? Easy: run Q.